1.
Compound: Cr2PPt
Source: Alexandria
Functional: GGA-PBEsol
Structure: relaxed

Cell and atoms, written as POSCAR:
```
Cr2PPt
1.0
2.802 0.000 0.000
0.000 2.802 0.000
0.000 0.000 6.309
Cr P Pt
2 1 1
direct
0.000 0.000 0.000 Cr
0.500 0.500 0.256 Cr
0.000 0.000 0.421 P
0.500 0.500 0.718 Pt
```

Calculated values
For the total magnetization, the calculation gives 0.0 Bohr magnetons per cell. For the uncorrected energy, the calculation gives -8.39 eV/atom. As for the density of states at the Fermi level: 0.9340 states/eV/atom.

2.
Compound: CrPPt2
Source: Alexandria
Functional: GGA-PBEsol
Structure: relaxed

Cell and atoms, written as POSCAR:
```
CrPPt2
1.0
3.800 0.000 0.000
0.000 3.800 0.000
0.000 0.000 7.813
Cr P Pt
2 2 4
direct
0.000 0.000 0.000 Cr
0.500 0.500 0.500 Cr
0.000 0.500 0.250 P
0.500 0.000 0.750 P
0.000 0.000 0.500 Pt
0.000 0.500 0.750 Pt
0.500 0.000 0.250 Pt
0.500 0.500 0.000 Pt
```

Calculated values
For the total magnetization, the calculation gives 6.7 Bohr magnetons per cell. For the uncorrected energy, the calculation gives -7.49 eV/atom. As for the density of states at the Fermi level: 0.9573 states/eV/atom.

3.
Compound: CrP2Pt
Source: Alexandria
Functional: GGA-PBEsol
Structure: relaxed

Cell and atoms, written as POSCAR:
```
CrP2Pt
1.0
2.942 0.000 0.000
0.000 2.942 0.000
0.000 0.000 5.768
Cr P Pt
1 2 1
direct
0.000 0.000 0.000 Cr
0.500 0.500 0.218 P
0.500 0.500 0.782 P
0.000 0.000 0.500 Pt
```

Calculated values
For the total magnetization, the calculation gives 0.0 Bohr magnetons per cell. The polymorph energy (0 for the lowest one) is 47.9 meV/atom. As for the density of states at the Fermi level: 0.7789 states/eV/atom.

4.
Compound: CrP2Pt
Source: Alexandria
Functional: GGA-PBEsol
Structure: relaxed

Cell and atoms, written as POSCAR:
```
CrP2Pt
1.0
5.898 0.000 0.000
0.000 5.898 0.000
0.000 0.000 5.898
Cr P Pt
4 8 4
direct
0.000 0.000 0.000 Cr
0.000 0.500 0.500 Cr
0.500 0.000 0.500 Cr
0.500 0.500 0.000 Cr
0.250 0.250 0.250 P
0.250 0.250 0.750 P
0.250 0.750 0.250 P
0.250 0.750 0.750 P
0.750 0.250 0.250 P
0.750 0.250 0.750 P
0.750 0.750 0.250 P
0.750 0.750 0.750 P
0.000 0.000 0.500 Pt
0.000 0.500 0.000 Pt
0.500 0.000 0.000 Pt
0.500 0.500 0.500 Pt
```

Calculated values
For the total magnetization, the calculation gives 4.4 Bohr magnetons per cell. The polymorph energy (0 for the lowest one) is 220.0 meV/atom. As for the density of states at the Fermi level: 1.1432 states/eV/atom.

5.
Compound: CrReP2
Source: Alexandria
Functional: GGA-PBEsol
Structure: relaxed

Cell and atoms, written as POSCAR:
```
CrReP2
1.0
2.868 0.000 0.000
0.000 4.242 0.000
0.000 0.000 4.065
Cr Re P
1 1 2
direct
0.000 0.000 0.000 Cr
0.500 0.500 0.240 Re
0.000 0.500 0.740 P
0.500 0.000 0.515 P
```

Calculated values
For the total magnetization, the calculation gives 0.0 Bohr magnetons per cell. The polymorph energy (0 for the lowest one) is 130.8 meV/atom. As for the density of states at the Fermi level: 0.6380 states/eV/atom.

6.
Compound: CrRe2P
Source: Alexandria
Functional: GGA-PBEsol
Structure: relaxed

Cell and atoms, written as POSCAR:
```
CrRe2P
1.0
2.773 0.000 0.000
-1.387 2.402 0.000
0.000 0.000 23.839
Cr Re P
3 6 3
direct
0.000 0.000 0.000 Cr
0.333 0.667 0.667 Cr
0.667 0.333 0.333 Cr
0.000 0.000 0.248 Re
0.000 0.000 0.752 Re
0.333 0.667 0.419 Re
0.333 0.667 0.914 Re
0.667 0.333 0.086 Re
0.667 0.333 0.581 Re
0.000 0.000 0.500 P
0.333 0.667 0.167 P
0.667 0.333 0.833 P
```

Calculated values
For the total magnetization, the calculation gives 0.0 Bohr magnetons per cell. For the uncorrected energy, the calculation gives -10.56 eV/atom. As for the density of states at the Fermi level: 1.0669 states/eV/atom.

7.
Compound: CrReP2
Source: Alexandria
Functional: GGA-PBEsol
Structure: relaxed

Cell and atoms, written as POSCAR:
```
CrReP2
1.0
3.047 0.000 0.000
0.000 3.058 0.000
0.000 0.000 11.039
Cr Re P
2 2 4
direct
0.000 0.000 0.000 Cr
0.500 0.500 0.500 Cr
0.000 0.500 0.749 Re
0.500 0.000 0.249 Re
0.000 0.000 0.579 P
0.000 0.500 0.343 P
0.500 0.000 0.843 P
0.500 0.500 0.079 P
```

Calculated values
For the total magnetization, the calculation gives 0.0 Bohr magnetons per cell. The polymorph energy (0 for the lowest one) is 0.0 meV/atom. As for the density of states at the Fermi level: 0.7156 states/eV/atom.

8.
Compound: ZnCrRe2P
Source: Alexandria
Functional: GGA-PBEsol
Structure: relaxed

Cell and atoms, written as POSCAR:
```
ZnCrRe2P
1.0
4.381 0.000 0.000
0.000 4.381 0.000
0.000 0.000 4.433
Zn Cr Re P
1 1 2 1
direct
0.000 0.000 0.000 Zn
0.000 0.000 0.500 Cr
0.000 0.500 0.500 Re
0.500 0.000 0.500 Re
0.500 0.500 0.000 P
```

Calculated values
For the total magnetization, the calculation gives 0.0 Bohr magnetons per cell. For the uncorrected energy, the calculation gives -7.17 eV/atom. As for the density of states at the Fermi level: 0.8891 states/eV/atom.

9.
Compound: CrPRh
Source: Alexandria
Functional: GGA-PBEsol
Structure: relaxed

Cell and atoms, written as POSCAR:
```
CrPRh
1.0
5.590 0.000 0.000
0.000 5.590 0.000
0.000 0.000 5.590
Cr P Rh
4 4 4
direct
0.000 0.000 0.000 Cr
0.000 0.500 0.500 Cr
0.500 0.000 0.500 Cr
0.500 0.500 0.000 Cr
0.000 0.000 0.500 P
0.000 0.500 0.000 P
0.500 0.000 0.000 P
0.500 0.500 0.500 P
0.250 0.250 0.750 Rh
0.250 0.750 0.250 Rh
0.750 0.250 0.250 Rh
0.750 0.750 0.750 Rh
```

Calculated values
For the total magnetization, the calculation gives 8.0 Bohr magnetons per cell. For the uncorrected energy, the calculation gives -8.23 eV/atom. As for the density of states at the Fermi level: 1.0419 states/eV/atom.

10.
Compound: CrP2Ru
Source: Alexandria
Functional: GGA-PBEsol
Structure: relaxed

Cell and atoms, written as POSCAR:
```
CrP2Ru
1.0
2.858 0.000 0.000
0.000 3.467 0.000
0.000 0.000 4.980
Cr P Ru
1 2 1
direct
0.000 0.000 0.000 Cr
0.000 0.000 0.476 P
0.500 0.500 0.142 P
0.500 0.500 0.636 Ru
```

Calculated values
For the total magnetization, the calculation gives 1.3 Bohr magnetons per cell. The polymorph energy (0 for the lowest one) is 0.0 meV/atom. As for the density of states at the Fermi level: 0.6505 states/eV/atom.

11.
Compound: CrP2Ru
Source: Alexandria
Functional: GGA-PBEsol
Structure: relaxed

Cell and atoms, written as POSCAR:
```
CrP2Ru
1.0
7.287 0.000 0.000
0.000 2.799 0.000
-1.127 0.000 4.733
Cr P Ru
2 4 2
direct
0.000 0.000 0.000 Cr
0.500 0.500 0.000 Cr
0.247 0.500 0.222 P
0.253 0.000 0.778 P
0.747 0.000 0.222 P
0.753 0.500 0.778 P
0.000 0.500 0.500 Ru
0.500 0.000 0.500 Ru
```

Calculated values
For the total magnetization, the calculation gives 0.0 Bohr magnetons per cell. The polymorph energy (0 for the lowest one) is 94.0 meV/atom. As for the density of states at the Fermi level: 0.9308 states/eV/atom.

12.
Compound: CrPRu2
Source: Alexandria
Functional: GGA-PBEsol
Structure: relaxed

Cell and atoms, written as POSCAR:
```
CrPRu2
1.0
2.770 0.000 0.000
0.000 2.770 0.000
0.000 0.000 6.303
Cr P Ru
1 1 2
direct
0.000 0.000 0.000 Cr
0.500 0.500 0.209 P
0.000 0.000 0.435 Ru
0.500 0.500 0.735 Ru
```

Calculated values
For the total magnetization, the calculation gives 0.0 Bohr magnetons per cell. For the uncorrected energy, the calculation gives -9.32 eV/atom. As for the density of states at the Fermi level: 0.7147 states/eV/atom.

13.
Compound: CrPRu2
Source: Alexandria
Functional: GGA-PBEsol
Structure: relaxed

Cell and atoms, written as POSCAR:
```
CrPRu2
1.0
4.110 0.000 0.000
0.000 4.110 0.000
0.000 0.000 2.958
Cr P Ru
1 1 2
direct
0.000 0.000 0.000 Cr
0.500 0.500 0.000 P
0.000 0.500 0.500 Ru
0.500 0.000 0.500 Ru
```

Calculated values
For the total magnetization, the calculation gives 2.7 Bohr magnetons per cell. For the uncorrected energy, the calculation gives -9.21 eV/atom. As for the density of states at the Fermi level: 0.7997 states/eV/atom.

14.
Compound: CrPRu2
Source: Alexandria
Functional: GGA-PBEsol
Structure: relaxed

Cell and atoms, written as POSCAR:
```
CrPRu2
1.0
2.787 0.000 0.000
0.000 2.787 0.000
0.000 0.000 6.311
Cr P Ru
1 1 2
direct
0.000 0.000 0.000 Cr
0.000 0.000 0.500 P
0.500 0.500 0.275 Ru
0.500 0.500 0.725 Ru
```

Calculated values
For the total magnetization, the calculation gives 0.0 Bohr magnetons per cell. For the uncorrected energy, the calculation gives -9.28 eV/atom. As for the density of states at the Fermi level: 0.6161 states/eV/atom.

15.
Compound: CrPRu2
Source: Alexandria
Functional: GGA-PBEsol
Structure: relaxed

Cell and atoms, written as POSCAR:
```
CrPRu2
1.0
2.834 0.000 0.000
0.000 4.540 0.000
0.000 0.000 7.892
Cr P Ru
2 2 4
direct
0.000 0.000 0.000 Cr
0.500 0.500 0.000 Cr
0.000 0.500 0.223 P
0.500 0.000 0.223 P
0.000 0.000 0.453 Ru
0.000 0.500 0.745 Ru
0.500 0.000 0.745 Ru
0.500 0.500 0.453 Ru
```

Calculated values
For the total magnetization, the calculation gives 0.6 Bohr magnetons per cell. For the uncorrected energy, the calculation gives -8.85 eV/atom. As for the density of states at the Fermi level: 1.3173 states/eV/atom.